Entry from Alexandria: Re4Pt after structural relaxation (GGA-PBEsol).

Structure (CIF):
```
data_Re4Pt
_chemical_formula_sum 'Re8 Pt2'
_cell_length_a 3.9188
_cell_length_b 3.9188
_cell_length_c 11.1250
_cell_angle_alpha 90.00
_cell_angle_beta 90.00
_cell_angle_gamma 90.00
_symmetry_space_group_name_H-M 'I 4/m m m'
_symmetry_Int_Tables_number 139
_symmetry_space_group_name_Hall '-I 4 2'
loop_
_atom_site_label
_atom_site_type_symbol
_atom_site_fract_x
_atom_site_fract_y
_atom_site_fract_z
Re1 Re 0.0000 0.0000 0.1107
Re2 Re 0.0000 0.5000 0.2500
Pt1 Pt 0.0000 0.0000 0.5000
```

Values from the calculation:
ΔH_f (0 K) (eV per atom): 0.683